LiSb: optimized geometry, PBE-GGA.

Cell lengths 4.334, 4.334, 6.030 Å; angles 90.00, 90.00, 120.00 degrees
Atoms (fractional coordinates):
Li (0.333, 0.667, 0.250)
Li (0.667, 0.333, 0.750)
Sb (0.000, 0.000, 0.000)
Sb (0.000, 0.000, 0.500)

magnetic moment = 0.00 μB/f.u.
symmetry = No. 194
raw formation energy = -270 meV/atom
crystal system = hexagonal